(P)
The following is a DFT calculation (PBE) of crystalline H3OsPb at its relaxed geometry.

## Properties
Theoretical density, kg/m3: 10017
Fermi-level density of states, states/eV/f.u.: 4.37
Space-group type: No. 221

Cell: 4.0490 4.0490 4.0490 Å, 90.00 90.00 90.00°
Site moments in Bohr magnetons follow the coordinates.
Positions (direct):
1 Pb 0.0000 0.0000 0.0000  0.00
2 H 0.0000 0.5000 0.0000  0.05
3 H 0.0000 0.0000 0.5000  0.04
4 H 0.5000 0.0000 0.0000  0.05
5 Os 0.5000 0.5000 0.5000  2.96


(Q)
The following is a DFT calculation (PBE) of crystalline H3OsPb at its relaxed geometry.

## Properties
Theoretical density, kg/m3: 12668
Fermi-level density of states, states/eV/f.u.: 1.27
Space-group type: No. 221

Cell: 3.7442 3.7442 3.7442 Å, 90.00 90.00 90.00°
Positions (direct):
1 Pb 0.5000 0.5000 0.5000
2 H 0.0000 0.5000 0.0000
3 H 0.0000 0.0000 0.5000
4 H 0.5000 0.0000 0.0000
5 Os 0.0000 0.0000 0.0000


Which one sits at the top of the stability order? (Q) does.


(P)
The following is a DFT calculation (PBE) of crystalline HOs2Pb at its relaxed geometry.

## Properties
Theoretical density, kg/m3: 16166
Fermi-level density of states, states/eV/f.u.: 5.26
Space-group type: No. 225

Cell: 4.4057 4.4057 4.4057 Å, 60.00 60.00 60.00°
Site moments in Bohr magnetons follow the coordinates.
Positions (direct):
1 Pb 0.5000 0.5000 0.5000  0.00
2 H 0.0000 0.0000 0.0000  -0.01
3 Os 0.2500 0.2500 0.2500  0.29
4 Os 0.7500 0.7500 0.7500  0.29


(Q)
The following is a DFT calculation (PBE) of crystalline HOs2Pb at its relaxed geometry.

## Properties
Theoretical density, kg/m3: 16418
Fermi-level density of states, states/eV/f.u.: 3.13
Space-group type: No. 122

Cell: 5.4509 5.4509 5.5605 Å, 60.65 60.65 90.00°
Positions (direct):
1 Pb 0.0000 0.0000 0.0000
2 Pb 0.7500 0.2500 0.5000
3 H 0.5000 0.5000 0.0000
4 H 0.2500 0.7500 0.5000
5 Os 0.4565 0.1250 0.2500
6 Os 0.2935 0.6250 0.2500
7 Os 0.3750 0.5435 0.7500
8 Os 0.8750 0.7065 0.7500


Which one sits at the top of the stability order? (Q) does.


(P)
The following is a DFT calculation (PBE) of crystalline HOs2Pd2 at its relaxed geometry.

## Properties
Theoretical density, kg/m3: 12177
Fermi-level density of states, states/eV/f.u.: 4.87
Space-group type: No. 127

Cell: 7.8213 7.8213 2.6497 Å, 90.00 90.00 90.00°
Site moments in Bohr magnetons follow the coordinates.
Positions (direct):
1 H 0.0000 0.0000 0.0000  0.25
2 H 0.5000 0.5000 0.0000  0.25
3 Os 0.1103 0.6103 0.5000  0.10
4 Os 0.6103 0.8897 0.5000  0.11
5 Os 0.8897 0.3897 0.5000  0.10
6 Os 0.3897 0.1103 0.5000  0.11
7 Pd 0.3148 0.8148 0.0000  0.05
8 Pd 0.8148 0.6852 0.0000  0.06
9 Pd 0.6852 0.1852 0.0000  0.05
10 Pd 0.1852 0.3148 0.0000  0.06


(Q)
The following is a DFT calculation (PBE) of crystalline HOs2Pd2 at its relaxed geometry.

## Properties
Theoretical density, kg/m3: 12100
Fermi-level density of states, states/eV/f.u.: 3.18
Space-group type: No. 139

Cell: 3.4781 3.4781 7.1765 Å, 75.98 75.98 90.00°
Positions (direct):
1 H 0.0000 0.0000 0.0000
2 Os 0.7500 0.2500 0.5000
3 Os 0.2500 0.7500 0.5000
4 Pd 0.4039 0.4039 0.1921
5 Pd 0.5961 0.5961 0.8079


Which one sits at the top of the stability order? (Q) does.


(P)
The following is a DFT calculation (PBE) of crystalline H3OsPd at its relaxed geometry.

## Properties
Theoretical density, kg/m3: 12061
Fermi-level density of states, states/eV/f.u.: 3.41
Space-group type: No. 221

Cell: 3.4554 3.4554 3.4554 Å, 90.00 90.00 90.00°
Positions (direct):
1 H 0.0000 0.5000 0.0000
2 H 0.0000 0.0000 0.5000
3 H 0.5000 0.0000 0.0000
4 Os 0.0000 0.0000 0.0000
5 Pd 0.5000 0.5000 0.5000


(Q)
The following is a DFT calculation (PBE) of crystalline H3OsPd at its relaxed geometry.

## Properties
Theoretical density, kg/m3: 12357
Fermi-level density of states, states/eV/f.u.: 3.86
Space-group type: No. 221

Cell: 3.4276 3.4276 3.4276 Å, 90.00 90.00 90.00°
Positions (direct):
1 H 0.0000 0.5000 0.0000
2 H 0.0000 0.0000 0.5000
3 H 0.5000 0.0000 0.0000
4 Os 0.5000 0.5000 0.5000
5 Pd 0.0000 0.0000 0.0000


Which one sits at the top of the stability order? (P) does.